[1]
## CsZn2Rh (PBE)

Data for CsZn2Rh after structural relaxation.

abc: 5.137 5.137 5.137
angles: 60.00 60.00 60.00
Positions (direct):
Zn 0.250 0.250 0.250
Zn 0.750 0.750 0.750
Cs 0.500 0.500 0.500
Rh 0.000 0.000 0.000

## Properties
- Electronic total energy: -1.9444 eV per atom
- DFT formation energy: 0.744 eV per atom
- Magnetization: 0.0000 μB per atom



[2]
## CsZn2Rh (PBE)

Data for CsZn2Rh after structural relaxation.

abc: 5.647 5.647 8.920
angles: 71.55 71.55 90.00
Positions (direct):
Zn 0.375 0.625 0.750
Zn 0.375 0.625 0.250
Zn 0.875 0.625 0.750
Zn 0.375 0.125 0.250
Rh 0.500 0.500 0.000
Rh 0.250 0.750 0.500
Cs 0.000 0.000 0.000
Cs 0.750 0.250 0.500

## Properties
- Electronic total energy: -2.5557 eV per atom
- DFT formation energy: 0.132 eV per atom
- Magnetization: 0.0000 μB per atom



[3]
## CsZnRh3 (PBE)

Data for CsZnRh3 after structural relaxation.

abc: 4.945 4.945 4.945
angles: 90.00 90.00 90.00
Positions (direct):
Rh 0.500 0.000 0.000
Rh 0.000 0.500 0.000
Rh 0.000 0.000 0.500
Zn 0.500 0.500 0.500
Cs 0.000 0.000 0.000

## Properties
- Electronic total energy: -2.7884 eV per atom
- DFT formation energy: 2.048 eV per atom
- Magnetization: 0.0000 μB per atom



[4]
## CsZnRh2 (PBE)

Data for CsZnRh2 after structural relaxation.

abc: 4.948 4.948 9.652
angles: 75.15 75.15 90.00
Positions (direct):
Rh 0.375 0.627 0.750
Rh 0.373 0.125 0.250
Rh 0.875 0.623 0.750
Rh 0.377 0.625 0.250
Zn 0.250 0.750 0.500
Zn 0.500 0.500 0.000
Cs 0.750 0.250 0.500
Cs 0.000 0.000 0.000

## Properties
- Electronic total energy: -3.6537 eV per atom
- DFT formation energy: 0.554 eV per atom
- Magnetization: 0.0002 μB per atom



[5]
## CsZnRh3 (PBE)

Data for CsZnRh3 after structural relaxation.

abc: 4.811 4.811 4.811
angles: 90.00 90.00 90.00
Positions (direct):
Rh 0.000 0.000 0.500
Rh 0.500 0.000 0.000
Rh 0.000 0.500 0.000
Cs 0.500 0.500 0.500
Zn 0.000 0.000 0.000

## Properties
- Electronic total energy: -3.8627 eV per atom
- DFT formation energy: 0.974 eV per atom
- Magnetization: 0.4258 μB per atom



[6]
## Cs3ZnRh (PBE)

Data for Cs3ZnRh after structural relaxation.

abc: 6.300 6.300 6.300
angles: 90.00 90.00 90.00
Positions (direct):
Cs 0.000 0.500 0.000
Cs 0.500 0.000 0.000
Cs 0.000 0.000 0.500
Zn 0.500 0.500 0.500
Rh 0.000 0.000 0.000

## Properties
- Electronic total energy: -1.7478 eV per atom
- DFT formation energy: 0.489 eV per atom
- Magnetization: 0.0000 μB per atom



[7]
## CsZr2Rh (PBE)

Data for CsZr2Rh after structural relaxation.

abc: 4.997 4.997 4.997
angles: 60.00 60.00 60.00
Positions (direct):
Zr 0.750 0.750 0.750
Zr 0.250 0.250 0.250
Cs 0.500 0.500 0.500
Rh 0.000 0.000 0.000

## Properties
- Electronic total energy: -5.5886 eV per atom
- DFT formation energy: 0.737 eV per atom
- Magnetization: 0.0000 μB per atom



[8]
## Cs3ZrRh (PBE)

Data for Cs3ZrRh after structural relaxation.

abc: 6.209 6.209 6.209
angles: 90.00 90.00 90.00
Positions (direct):
Cs 0.000 0.500 0.000
Cs 0.000 0.000 0.500
Cs 0.500 0.000 0.000
Rh 0.000 0.000 0.000
Zr 0.500 0.500 0.500

## Properties
- Electronic total energy: -2.4238 eV per atom
- DFT formation energy: 1.268 eV per atom
- Magnetization: 0.7097 μB per atom



[9]
## CsZr2Rh (PBE)

Data for CsZr2Rh after structural relaxation.

abc: 6.082 6.082 9.363
angles: 71.05 71.05 90.00
Positions (direct):
Rh 0.500 0.500 0.000
Rh 0.250 0.750 0.500
Cs 0.000 0.000 0.000
Cs 0.750 0.250 0.500
Zr 0.377 0.125 0.250
Zr 0.375 0.623 0.750
Zr 0.875 0.627 0.750
Zr 0.373 0.625 0.250

## Properties
- Electronic total energy: -5.4093 eV per atom
- DFT formation energy: 0.916 eV per atom
- Magnetization: 0.0032 μB per atom



[10]
## Cs2ZrRh (PBE)

Data for Cs2ZrRh after structural relaxation.

abc: 10.266 10.266 10.266
angles: 93.11 93.11 153.05
Positions (direct):
Rh 0.250 0.750 0.500
Rh 0.000 0.000 0.000
Cs 0.041 0.375 0.166
Cs 0.209 0.875 0.834
Cs 0.125 0.959 0.334
Cs 0.625 0.791 0.666
Zr 0.500 0.500 0.000
Zr 0.750 0.250 0.500

## Properties
- Electronic total energy: -3.6912 eV per atom
- DFT formation energy: 0.710 eV per atom
- Magnetization: 0.0000 μB per atom



[11]
## CsRu (PBE)

Data for CsRu after structural relaxation.

abc: 4.035 6.098 11.578
angles: 90.00 90.00 90.00
Positions (direct):
Ru 0.000 0.250 0.797
Ru 0.500 0.250 0.703
Ru 0.500 0.750 0.297
Ru 0.000 0.750 0.203
Cs 0.500 0.250 0.101
Cs 0.000 0.250 0.399
Cs 0.000 0.750 0.601
Cs 0.500 0.750 0.899

## Properties
- Electronic total energy: -4.0729 eV per atom
- DFT formation energy: 0.992 eV per atom
- Magnetization: 0.0000 μB per atom



[12]
## CsRu (PBE)

Data for CsRu after structural relaxation.

abc: 3.981 10.988 11.285
angles: 90.00 90.00 90.00
Positions (direct):
Cs 0.000 0.322 0.000
Cs 0.500 0.678 0.500
Cs 0.500 0.206 0.684
Cs 0.000 0.794 0.816
Cs 0.000 0.794 0.184
Cs 0.500 0.206 0.316
Ru 0.500 0.593 0.000
Ru 0.500 0.519 0.195
Ru 0.000 0.407 0.500
Ru 0.000 0.481 0.305
Ru 0.000 0.481 0.695
Ru 0.500 0.519 0.805

## Properties
- Electronic total energy: -4.2234 eV per atom
- DFT formation energy: 0.841 eV per atom
- Magnetization: 0.0325 μB per atom